Record 1
# ErCrIn2S6

An optimized crystal structure of ErCrIn2S6 (PBE-GGA, the Alexandria database).

E: -5.35 eV per atom
Formation energy (no corrections): -0.903 eV per atom
M_tot: 3.00 μB/f.u.

a b c (Å): 6.5384 6.5384 17.6421
angles (deg): 90.00 90.00 120.00
Space group R3 (No. 146, hexagonal axes)
Unique sites:
Er: 0.0000 0.0000 0.0000 [3 per cell]
Cr: 0.0000 0.0000 0.4937 [3 per cell]
In: 0.0000 0.0000 0.2892 [3 per cell]
In: 0.0000 0.0000 0.7991 [3 per cell]
S: 0.0023 0.6358 0.2337 [9 per cell]
S: 0.0476 0.3788 0.0741 [9 per cell]



Record 2
# GdPuSn2

An optimized crystal structure of GdPuSn2 (PBE-GGA, the Alexandria database).

E: -9.65 eV per atom
Calculated formation energy: -0.54 eV/atom
M_tot: 1.68 μB/f.u.

a b c (Å): 3.417 3.417 9.087
angles (deg): 90.00 90.00 90.00
Space group P4/mmm (No. 123)
Unique sites:
Gd: 0.000 0.000 0.000 [1 per cell]
Pu: 0.000 0.000 0.500 [1 per cell]
Sn: 0.500 0.500 0.250 [2 per cell]



Record 3
# Pa3Tl3CrSe8

An optimized crystal structure of Pa3Tl3CrSe8 (PBE-GGA, the Alexandria database).

E: -5.79 eV per atom
Formation energy (no corrections): -0.919 eV per atom
M_tot: 8.02 μB/f.u.

a b c (Å): 8.1494 8.1494 23.9827
angles (deg): 90.00 90.00 120.00
Space group R-3m (No. 166, hexagonal axes)
Unique sites:
Pa: 0.0000 0.5000 0.0000 [9 per cell]
Tl: 0.0000 0.5000 0.5000 [9 per cell]
Cr: 0.0000 0.0000 0.0000 [3 per cell]
Se: 0.0000 0.0000 0.2636 [6 per cell]
Se: 0.0115 0.5058 0.7320 [18 per cell]



Record 4
# LiLaY

An optimized crystal structure of LiLaY (PBE-GGA, the Alexandria database).

E: -3.96 eV per atom
Calculated formation energy: 0.47 eV/atom
M_tot: 0.87 μB/f.u.

a b c (Å): 7.335 7.335 7.335
angles (deg): 90.00 90.00 90.00
Space group F-43m (No. 216)
Unique sites:
Li: 0.000 0.000 0.000 [4 per cell]
La: 0.250 0.250 0.750 [4 per cell]
Y: 0.250 0.250 0.250 [4 per cell]



Record 5
# Nd2SmTlO6

An optimized crystal structure of Nd2SmTlO6 (PBE-GGA, the Alexandria database).

E: -7.29 eV per atom
Formation energy (no corrections): -2.651 eV per atom
M_tot: 0.00 μB/f.u.

a b c (Å): 6.0174 6.0174 15.5806
angles (deg): 90.00 90.00 120.00
Space group R3 (No. 146, hexagonal axes)
Unique sites:
Nd: 0.0000 0.0000 0.0000 [3 per cell]
Nd: 0.0000 0.0000 0.4988 [3 per cell]
Sm: 0.0000 0.0000 0.7206 [3 per cell]
Tl: 0.0000 0.0000 0.2190 [3 per cell]
O: 0.0477 0.6769 0.7779 [9 per cell]
O: 0.0506 0.3690 0.2792 [9 per cell]



Record 6
# TaCd2Cl

An optimized crystal structure of TaCd2Cl (PBE-GGA, the Alexandria database).

E: -3.81 eV per atom
Formation energy (no corrections): 0.075 eV per atom
M_tot: 0.00 μB/f.u.

a b c (Å): 3.875 4.804 8.770
angles (deg): 90.00 90.00 90.00
Space group Cmmm (No. 65)
Unique sites:
Ta: 0.000 0.000 0.000 [2 per cell]
Cd: 0.000 0.500 0.249 [4 per cell]
Cl: 0.000 0.000 0.500 [2 per cell]



Record 7
# La2Pr6Dy3

An optimized crystal structure of La2Pr6Dy3 (PBE-GGA, the Alexandria database).

E: -4.32 eV per atom
Calculated formation energy: 0.44 eV/atom
M_tot: 0.00 μB/f.u.

a b c (Å): 5.799 5.799 24.646
angles (deg): 90.00 90.00 90.00
Space group I4/mmm (No. 139)
Unique sites:
La: 0.000 0.000 0.059 [4 per cell]
Pr: 0.000 0.000 0.203 [4 per cell]
Pr: 0.000 0.500 0.097 [8 per cell]
Dy: 0.000 0.000 0.341 [4 per cell]
Dy: 0.000 0.000 0.500 [2 per cell]